# GGA-PBEsol CoCu3Cl, optimized geometry
# Fermi-level density of states ... 5.75 states/eV/f.u.
# Energy relative to the elements, uncorrected ... 1.225 eV/atom
# Total magnetic moment ... 1.53 μB/f.u.
data_CoCu3Cl
_chemical_formula_sum 'Co1 Cu3 Cl1'
_space_group_name_H-M_alt 'P m -3 m'
_space_group_IT_number 221
_space_group_name_Hall '-P 4 2 3'
_cell_length_a 4.2687
_cell_length_b 4.2687
_cell_length_c 4.2687
_cell_angle_alpha 90.00
_cell_angle_beta 90.00
_cell_angle_gamma 90.00
loop_
_atom_site_label
_atom_site_fract_x
_atom_site_fract_y
_atom_site_fract_z
Co1 0.0000 0.0000 0.0000
Cu1 0.0000 0.5000 0.5000
Cl1 0.5000 0.5000 0.5000